This record from Alexandria describes crystalline Fe2CoSbO6 at its relaxed geometry. The functional is PBE+U.

a b c (Å): 5.291 5.284 5.589
angles (deg): 61.77 61.32 59.90
Last column: magnetic moment on the atom in μB.
Positions (direct):
O 0.233 0.922 0.257  0.13
O 0.923 0.591 0.255  0.13
O 0.592 0.231 0.253  0.13
O 0.419 0.699 0.757  0.15
O 0.121 0.421 0.759  0.14
O 0.699 0.126 0.752  0.15
Sb 0.317 0.314 0.052  0.02
Fe 0.521 0.521 0.436  4.33
Fe 0.025 0.027 0.926  3.80
Co 0.811 0.810 0.568  2.74

Results
total energy: -63.8 eV/f.u.
M_tot: 12.00 μB/f.u.
V: 113 Å³/f.u.
space group: P1